No. 1
First-principles (PBE-GGA) data for a geometry-optimized RbCu2ReGe structure, as listed in the Alexandria database.

Cell: 4.813 4.846 4.813 Å, 90.00 90.00 90.00°
Last column: magnetic moment on the atom in μB.
Fractional positions:
1 Re 0.000 0.500 0.000  1.79
2 Rb 0.500 0.500 0.500  0.02
3 Cu 0.000 0.000 0.500  0.02
4 Cu 0.500 0.000 0.000  0.03
5 Ge 0.000 0.000 0.000  -0.02

Spin magnetization, μB per formula unit: 2.1
V, Å³ per cell: 112
Theoretical density, g/cm³: 7.0
Calculated total energy, eV/atom: -4.211

=====

No. 2
First-principles (PBE-GGA) data for a geometry-optimized RbCuGeS3 structure, as listed in the Alexandria database.

Cell: 7.436 7.436 8.131 Å, 70.96 70.96 59.05°
Fractional positions:
1 S 0.315 0.811 0.215
2 S 0.189 0.685 0.785
3 S 0.208 0.208 0.682
4 S 0.811 0.315 0.215
5 S 0.792 0.792 0.318
6 S 0.685 0.189 0.785
7 Rb 0.308 0.308 0.217
8 Rb 0.692 0.692 0.783
9 Cu 0.251 0.749 0.500
10 Cu 0.749 0.251 0.500
11 Ge 0.964 0.964 0.262
12 Ge 0.036 0.036 0.738

Spin magnetization, μB per formula unit: 0.0
V, Å³ per cell: 357
Theoretical density, g/cm³: 3.0
Uncorrected formation energy, eV/atom: -0.51

=====

No. 3
First-principles (PBE-GGA) data for a geometry-optimized RbCuGeSe3 structure, as listed in the Alexandria database.

Cell: 7.646 7.646 8.436 Å, 72.62 72.62 60.46°
Fractional positions:
1 Cu 0.766 0.234 0.500
2 Cu 0.234 0.766 0.500
3 Ge 0.968 0.968 0.261
4 Ge 0.032 0.032 0.739
5 Se 0.789 0.789 0.317
6 Se 0.674 0.184 0.788
7 Se 0.816 0.326 0.212
8 Se 0.211 0.211 0.683
9 Se 0.184 0.674 0.788
10 Se 0.326 0.816 0.212
11 Rb 0.310 0.310 0.230
12 Rb 0.690 0.690 0.770

Spin magnetization, μB per formula unit: 0.0
V, Å³ per cell: 403
Theoretical density, g/cm³: 3.8
Uncorrected formation energy, eV/atom: -0.44

=====

No. 4
First-principles (PBE-GGA) data for a geometry-optimized Rb2CuGeSe4 structure, as listed in the Alexandria database.

Cell: 6.829 6.806 6.806 Å, 75.42 59.89 59.89°
Last column: magnetic moment on the atom in μB.
Fractional positions:
1 Rb 0.000 0.500 0.500  0.00
2 Rb 0.500 0.500 0.500  0.00
3 Se 0.890 0.000 0.702  0.11
4 Se 0.408 0.702 0.000  0.11
5 Se 0.592 0.000 0.298  0.11
6 Se 0.110 0.298 0.000  0.11
7 Cu 0.000 0.000 0.000  0.32
8 Ge 0.500 0.000 0.000  0.00

Spin magnetization, μB per formula unit: 1.1
V, Å³ per cell: 237
Theoretical density, g/cm³: 4.4
Uncorrected formation energy, eV/atom: -0.61

=====

No. 5
First-principles (PBE-GGA) data for a geometry-optimized RbCu2GeTe4 structure, as listed in the Alexandria database.

Cell: 6.994 7.232 7.232 Å, 75.13 61.08 61.08°
Fractional positions:
1 Te 0.882 0.517 0.167
2 Te 0.434 0.167 0.517
3 Te 0.566 0.483 0.833
4 Te 0.118 0.833 0.483
5 Rb 0.000 0.000 0.000
6 Cu 0.863 0.637 0.637
7 Cu 0.137 0.363 0.363
8 Ge 0.500 0.500 0.500

Spin magnetization, μB per formula unit: 0.0
V, Å³ per cell: 280
Theoretical density, g/cm³: 4.7
Uncorrected formation energy, eV/atom: -0.17

=====

No. 6
First-principles (PBE-GGA) data for a geometry-optimized RbCuGeTe3 structure, as listed in the Alexandria database.

Cell: 4.193 10.076 10.225 Å, 113.81 90.00 90.00°
Fractional positions:
1 Te 0.250 0.134 0.851
2 Te 0.750 0.216 0.554
3 Te 0.250 0.784 0.446
4 Te 0.250 0.530 0.846
5 Te 0.750 0.866 0.149
6 Te 0.750 0.470 0.154
7 Rb 0.750 0.795 0.756
8 Rb 0.250 0.205 0.244
9 Cu 0.750 0.937 0.425
10 Cu 0.250 0.063 0.575
11 Ge 0.250 0.666 0.140
12 Ge 0.750 0.334 0.860

Spin magnetization, μB per formula unit: 0.0
V, Å³ per cell: 395
Theoretical density, g/cm³: 5.1
Uncorrected formation energy, eV/atom: -0.30

=====

No. 7
First-principles (PBE-GGA) data for a geometry-optimized Rb2CuGeTe4 structure, as listed in the Alexandria database.

Cell: 6.861 8.461 12.422 Å, 83.57 73.97 66.08°
Fractional positions:
1 Te 0.297 0.803 0.107
2 Te 0.850 0.697 0.607
3 Te 0.900 0.803 0.893
4 Te 0.453 0.697 0.393
5 Te 0.543 0.303 0.607
6 Te 0.596 0.197 0.107
7 Te 0.154 0.303 0.393
8 Te 0.207 0.197 0.893
9 Rb 0.820 0.000 0.360
10 Rb 0.570 0.500 0.860
11 Rb 0.180 0.000 0.640
12 Rb 0.930 0.500 0.140
13 Cu 0.000 0.000 0.000
14 Cu 0.750 0.500 0.500
15 Ge 0.250 0.500 0.500
16 Ge 0.500 0.000 0.000

Spin magnetization, μB per formula unit: 0.0
V, Å³ per cell: 634
Theoretical density, g/cm³: 4.3
Uncorrected formation energy, eV/atom: -0.44

=====

No. 8
First-principles (PBE-GGA) data for a geometry-optimized CuRe2Ge structure, as listed in the Alexandria database.

Cell: 6.991 6.991 5.571 Å, 51.14 51.14 90.00°
Fractional positions:
1 Cu 0.250 0.750 0.500
2 Cu 0.500 0.500 0.000
3 Re 0.375 0.351 0.750
4 Re 0.649 0.125 0.250
5 Re 0.101 0.625 0.250
6 Re 0.875 0.899 0.750
7 Ge 0.750 0.250 0.500
8 Ge 0.000 0.000 0.000

Spin magnetization, μB per formula unit: 0.0
V, Å³ per cell: 126
Theoretical density, g/cm³: 13.5
Calculated total energy, eV/atom: -7.530

=====

> V of number 4 (Rb2CuGeSe4)?

237 Å³ per cell

=====

> Which formula does entry 3 have?

RbCuGeSe3